Entry 1:
5
Lattice="3.666 0.000 0.000 0.000 3.666 0.000 0.000 0.000 4.386" Properties=species:S:1:pos:R:3 comment="HfMn2BC (meta-GGA SCAN, single point on PBEsol structure)" ef_mev_per_atom=117 crystal_system=tetragonal pbc="T T T"
Hf 0.000 0.000 0.000
Mn 0.000 1.833 2.193
Mn 1.833 0.000 2.193
B 1.833 1.833 0.000
C 0.000 0.000 2.193



Entry 2:
5
Lattice="4.554 0.000 0.000 0.000 4.554 0.000 0.000 0.000 4.043" Properties=species:S:1:pos:R:3 comment="Hf2SnBC (meta-GGA SCAN, single point on PBEsol structure)" ef_mev_per_atom=1103 crystal_system=tetragonal pbc="T T T"
Hf 0.000 2.277 0.000
Hf 2.277 0.000 0.000
Sn 0.000 0.000 2.021
B 0.000 0.000 0.000
C 2.277 2.277 2.021



Entry 3:
16
Lattice="4.614 0.000 0.000 0.000 4.614 0.000 0.000 0.000 7.929" Properties=species:S:1:pos:R:3 comment="HgBC2 (meta-GGA SCAN, single point on PBEsol structure)" ef_mev_per_atom=1282 crystal_system=tetragonal pbc="T T T"
Hg 0.000 0.000 0.000
Hg 0.000 2.307 1.982
Hg 2.307 0.000 5.947
Hg 2.307 2.307 3.964
B 0.000 0.000 3.964
B 0.000 2.307 5.947
B 2.307 0.000 1.982
B 2.307 2.307 0.000
C 0.608 1.153 4.955
C 1.153 2.915 6.938
C 1.153 4.005 2.973
C 1.699 1.153 0.991
C 2.915 3.460 0.991
C 3.460 0.608 2.973
C 3.460 1.699 6.938
C 4.005 3.460 4.955



Entry 4:
32
Lattice="6.749 0.000 0.000 0.000 6.749 0.000 0.000 0.000 7.284" Properties=species:S:1:pos:R:3 comment="HoB2C (meta-GGA SCAN, single point on PBEsol structure)" ef_mev_per_atom=-643 crystal_system=tetragonal pbc="T T T"
Ho 1.285 2.089 1.821
Ho 1.285 2.089 5.463
Ho 2.089 5.463 1.821
Ho 2.089 5.463 5.463
Ho 4.660 1.285 1.821
Ho 4.660 1.285 5.463
Ho 5.463 4.660 1.821
Ho 5.463 4.660 5.463
B 0.230 5.727 0.000
B 0.634 4.028 0.000
B 0.653 4.008 3.642
B 1.022 0.230 3.642
B 2.353 3.605 3.642
B 2.721 0.634 3.642
B 2.740 0.653 0.000
B 3.144 2.353 0.000
B 3.605 4.396 0.000
B 4.008 6.095 0.000
B 4.028 6.115 3.642
B 4.396 3.144 3.642
B 5.727 6.518 3.642
B 6.095 2.740 3.642
B 6.115 2.721 0.000
B 6.518 1.022 0.000
C 0.275 5.547 3.642
C 1.202 0.275 0.000
C 2.173 3.649 0.000
C 3.100 2.173 3.642
C 3.649 4.576 3.642
C 4.576 3.100 0.000
C 5.547 6.474 0.000
C 6.474 1.202 3.642



Entry 5:
14
Lattice="3.236 0.000 0.000 0.000 6.530 0.000 0.000 0.000 7.397" Properties=species:S:1:pos:R:3 comment="Ho2B4C (meta-GGA SCAN, single point on PBEsol structure)" ef_mev_per_atom=-677 crystal_system=orthorhombic pbc="T T T"
Ho 0.000 0.000 1.736
Ho 0.000 0.000 5.661
Ho 1.618 3.265 1.963
Ho 1.618 3.265 5.434
B 0.000 1.776 3.698
B 0.000 2.382 0.000
B 0.000 4.148 0.000
B 0.000 4.754 3.698
B 1.618 0.883 3.698
B 1.618 1.489 0.000
B 1.618 5.041 0.000
B 1.618 5.647 3.698
C 0.000 3.265 3.698
C 1.618 0.000 0.000



Entry 6:
5
Lattice="4.979 0.000 0.000 0.000 4.979 0.000 0.000 0.000 4.979" Properties=species:S:1:pos:R:3 comment="BCI3 (meta-GGA SCAN, single point on PBEsol structure)" raw_formation_energy_ev_per_atom=2.086 crystal_system=cubic pbc="T T T"
B 0.000 0.000 0.000
C 2.490 2.490 2.490
I 0.000 0.000 2.490
I 0.000 2.490 0.000
I 2.490 0.000 0.000



Entry 7:
5
Lattice="4.568 0.000 0.000 0.000 4.568 0.000 0.000 0.000 4.568" Properties=species:S:1:pos:R:3 comment="In3BC (meta-GGA SCAN, single point on PBEsol structure)" ef_mev_per_atom=1603 crystal_system=cubic pbc="T T T"
In 0.000 0.000 2.284
In 0.000 2.284 0.000
In 2.284 0.000 0.000
B 0.000 0.000 0.000
C 2.284 2.284 2.284



Entry 8:
5
Lattice="4.114 0.000 0.000 0.000 4.114 0.000 0.000 0.000 4.074" Properties=species:S:1:pos:R:3 comment="KTiB2C (meta-GGA SCAN, single point on PBEsol structure)" ef_mev_per_atom=3417 crystal_system=tetragonal pbc="T T T"
K 0.000 0.000 0.000
Ti 2.057 2.057 2.037
B 0.000 2.057 0.000
B 2.057 0.000 0.000
C 0.000 0.000 2.037



Entry 9:
5
Lattice="4.786 0.000 0.000 0.000 4.786 0.000 0.000 0.000 3.180" Properties=species:S:1:pos:R:3 comment="LaNb2BC (meta-GGA SCAN, single point on PBEsol structure)" ef_mev_per_atom=921 crystal_system=tetragonal pbc="T T T"
La 0.000 0.000 0.000
Nb 0.000 2.393 1.590
Nb 2.393 0.000 1.590
B 2.393 2.393 1.590
C 2.393 2.393 0.000



Entry 10:
5
Lattice="3.307 0.000 0.000 0.000 3.307 0.000 0.000 0.000 5.265" Properties=species:S:1:pos:R:3 comment="LaBC2O (meta-GGA SCAN, single point on PBEsol structure)" raw_formation_energy_ev_per_atom=-0.032 crystal_system=tetragonal pbc="T T T"
La 0.000 0.000 0.000
B 1.653 1.653 2.632
C 0.000 1.653 2.632
C 1.653 0.000 2.632
O 1.653 1.653 0.000



Entry 11:
12
Lattice="3.903 0.000 0.000 0.000 3.903 0.000 0.000 0.000 10.314" Properties=species:S:1:pos:R:3 comment="LaB2Pd2C (meta-GGA SCAN, single point on PBEsol structure)" ef_mev_per_atom=-623 crystal_system=tetragonal pbc="T T T"
La 0.000 0.000 0.000
La 1.952 1.952 5.157
B 0.000 0.000 3.675
B 0.000 0.000 6.639
B 1.952 1.952 1.482
B 1.952 1.952 8.832
Pd 0.000 1.952 2.579
Pd 0.000 1.952 7.736
Pd 1.952 0.000 2.579
Pd 1.952 0.000 7.736
C 0.000 0.000 5.157
C 1.952 1.952 0.000



Entry 12:
12
Lattice="3.848 0.000 0.000 0.000 3.848 0.000 0.000 0.000 10.711" Properties=species:S:1:pos:R:3 comment="LaB2Pt2C (meta-GGA SCAN, single point on PBEsol structure)" ef_mev_per_atom=-799 crystal_system=tetragonal pbc="T T T"
La 0.000 0.000 0.000
La 1.924 1.924 5.356
B 0.000 0.000 3.866
B 0.000 0.000 6.845
B 1.924 1.924 1.490
B 1.924 1.924 9.222
Pt 0.000 1.924 2.678
Pt 0.000 1.924 8.033
Pt 1.924 0.000 2.678
Pt 1.924 0.000 8.033
C 0.000 0.000 5.356
C 1.924 1.924 0.000